Crystalline Hg2SbOsC at its relaxed geometry. Source: Alexandria, functional PBE.

Summary:
DOS(E_F): 2.424 states/eV/f.u.
energy relative to the elements, uncorrected: 1.68 eV per atom

Cell lengths 4.310, 4.310, 5.263 Å; angles 90.00, 90.00, 90.00 degrees
Space group P4/mmm (No. 123)
Unique sites:
1 Hg 0.000 0.500 0.000 x2
2 Sb 0.000 0.000 0.500 x1
3 Os 0.500 0.500 0.500 x1
4 C 0.000 0.000 0.000 x1



Crystalline SiHgOsC2 at its relaxed geometry. Source: Alexandria, functional PBE.

Summary:
DOS(E_F): 2.440 states/eV/f.u.
energy relative to the elements, uncorrected: 1.48 eV per atom

Cell lengths 3.915, 3.915, 5.600 Å; angles 90.00, 90.00, 90.00 degrees
Space group P4/mmm (No. 123)
Unique sites:
1 Si 0.000 0.000 0.000 x1
2 Hg 0.500 0.500 0.000 x1
3 Os 0.500 0.500 0.500 x1
4 C 0.000 0.500 0.500 x2



Crystalline Sm2HgOsC at its relaxed geometry. Source: Alexandria, functional PBE.

Summary:
DOS(E_F): 2.347 states/eV/f.u.
ΔH_f (0 K): -0.367 eV/atom

Cell lengths 5.191, 5.191, 3.927 Å; angles 90.00, 90.00, 90.00 degrees
Space group P4/mmm (No. 123)
Unique sites:
1 Sm 0.000 0.500 0.000 x2
2 Hg 0.000 0.000 0.500 x1
3 Os 0.500 0.500 0.500 x1
4 C 0.500 0.500 0.000 x1



Crystalline Sr2HgOsC at its relaxed geometry. Source: Alexandria, functional PBE.

Summary:
DOS(E_F): 3.622 states/eV/f.u.
ΔH_f (0 K): -0.029 eV/atom

Cell lengths 5.558, 5.558, 3.925 Å; angles 90.00, 90.00, 90.00 degrees
Space group P4/mmm (No. 123)
Unique sites:
1 Sr 0.000 0.500 0.000 x2
2 Hg 0.000 0.000 0.500 x1
3 Os 0.500 0.500 0.500 x1
4 C 0.500 0.500 0.000 x1



Values for total moment, μB/atom, ordered as above
0.24, 0.00, 0.00, 0.00